[1]
# Li4Tl2Cd

A relaxed Li4Tl2Cd crystal (PBE-GGA, the Alexandria database).

abc: 7.407 5.485 7.975
angles: 90.00 114.70 90.00
Sites, in units of the cell vectors:
Li1 0.014 0.250 0.434
Li2 0.056 0.250 0.832
Li3 0.424 0.004 0.791
Li4 0.424 0.496 0.791
Li5 0.576 0.504 0.209
Li6 0.576 0.996 0.209
Li7 0.944 0.750 0.168
Li8 0.986 0.750 0.566
Tl1 0.212 0.750 0.973
Tl2 0.330 0.750 0.448
Tl3 0.670 0.250 0.552
Tl4 0.788 0.250 0.027
Cd1 0.240 0.250 0.220
Cd2 0.760 0.750 0.780

Summary:
DOS(E_F) (states/eV per cell): 3.29
Space group: P2_1/m, No. 11
Formation energy from the elements (eV/atom): -0.1314
Energy relative to the lowest polymorph listed for this composition (meV/atom): 49.2
Calculated total energy (Ry per atom): -0.1493

***

[2]
# Li2Sb2Ir

A relaxed Li2Sb2Ir crystal (PBE-GGA, the Alexandria database).

abc: 6.771 6.771 4.574
angles: 90.00 90.00 90.00
Sites, in units of the cell vectors:
Li1 0.169 0.331 0.000
Li2 0.331 0.831 0.000
Li3 0.669 0.169 0.000
Li4 0.831 0.669 0.000
Sb1 0.147 0.647 0.500
Sb2 0.353 0.147 0.500
Sb3 0.647 0.853 0.500
Sb4 0.853 0.353 0.500
Ir1 0.000 0.000 0.500
Ir2 0.500 0.500 0.500

Summary:
DOS(E_F) (states/eV per cell): 2.49
Uncorrected formation energy (eV/atom): -0.340
Space group: P4/mbm, No. 127
Calculated total energy (Ry per atom): -0.3327

***

[3]
# Ce2TiSb

A relaxed Ce2TiSb crystal (PBE-GGA, the Alexandria database).

abc: 4.381 4.381 4.832
angles: 90.00 90.00 90.00
Sites, in units of the cell vectors:
Ce1 0.000 0.500 0.000
Ce2 0.500 0.000 0.000
Ti1 0.000 0.000 0.500
Sb1 0.500 0.500 0.500

Summary:
DOS(E_F) (states/eV per cell): 7.85
Uncorrected formation energy (eV/atom): -0.412
Space group: P4/mmm, No. 123
Calculated total energy (Ry per atom): -0.4692

***

[4]
# Sc2Sb2I

A relaxed Sc2Sb2I crystal (PBE-GGA, the Alexandria database).

abc: 8.290 8.290 3.753
angles: 90.00 90.00 90.00
Sites, in units of the cell vectors:
Sc1 0.159 0.341 0.000
Sc2 0.341 0.841 0.000
Sc3 0.659 0.159 0.000
Sc4 0.841 0.659 0.000
Sb1 0.136 0.636 0.500
Sb2 0.364 0.136 0.500
Sb3 0.636 0.864 0.500
Sb4 0.864 0.364 0.500
I1 0.000 0.000 0.000
I2 0.500 0.500 0.000

Summary:
DOS(E_F) (states/eV per cell): 5.35
Uncorrected formation energy (eV/atom): -0.700
Space group: P4/mbm, No. 127
Energy relative to the lowest polymorph listed for this composition (meV/atom): 0.0
Calculated total energy (Ry per atom): -0.3816

***

[5]
# Pa3RuSe2O6

A relaxed Pa3RuSe2O6 crystal (PBE-GGA, the Alexandria database).

abc: 7.135 7.135 6.078
angles: 105.21 105.21 65.43
Sites, in units of the cell vectors:
Pa1 0.000 0.000 0.000
Pa2 0.000 0.500 0.500
Pa3 0.500 0.000 0.500
Ru1 0.500 0.500 0.500
Se1 0.191 0.191 0.803
Se2 0.809 0.809 0.197
O1 0.101 0.713 0.762
O2 0.287 0.899 0.238
O3 0.322 0.322 0.428
O4 0.678 0.678 0.572
O5 0.713 0.101 0.762
O6 0.899 0.287 0.238

Summary:
DOS(E_F) (states/eV per cell): 0.29
Uncorrected formation energy (eV/atom): -2.358
Space group: C2/m, No. 12
Calculated total energy (Ry per atom): -0.6295

***

[6]
# HgIr2Cl

A relaxed HgIr2Cl crystal (PBE-GGA, the Alexandria database).

abc: 4.585 4.585 4.585
angles: 60.00 60.00 60.00
Sites, in units of the cell vectors:
Hg1 0.000 0.000 0.000
Ir1 0.250 0.250 0.250
Ir2 0.750 0.750 0.750
Cl1 0.500 0.500 0.500

Summary:
DOS(E_F) (states/eV per cell): 8.07
Uncorrected formation energy (eV/atom): 1.206
Space group: Fm-3m, No. 225
Energy relative to the lowest polymorph listed for this composition (meV/atom): 899.0
Calculated total energy (Ry per atom): -0.2765

***

Q: What is the formula in the third record?
A: Ce2TiSb